Entry 1:
Density functional theory data (PBE) for a geometry-optimized FeAg structure.

Cell and atoms, written as POSCAR:
```
FeAg
1.0
8.3205 0.0000 0.0000
0.0000 2.8079 0.0000
0.0000 0.0000 10.3820
Fe Ag
8 8
Cartesian
0.1948 0.7020 1.1345 Fe
1.8417 2.1059 0.1051 Fe
2.3186 0.7020 5.2961 Fe
3.9654 2.1059 6.3256 Fe
4.3550 0.7020 4.0565 Fe
6.0019 2.1059 5.0859 Fe
6.4788 0.7020 10.2769 Fe
8.1257 2.1059 9.2475 Fe
0.1713 2.1059 6.4322 Ag
2.0596 0.7020 8.0683 Ag
2.1006 2.1059 2.8772 Ag
3.9889 0.7020 1.2412 Ag
4.3316 2.1059 9.1408 Ag
6.2198 0.7020 7.5048 Ag
6.2609 2.1059 2.3138 Ag
8.1491 0.7020 3.9498 Ag
```

Properties
**Energy relative to the elements**: 299 meV/atom
**Magnetic moment**: 2.7 μB/f.u.
**Crystal system**: orthorhombic
**E**: -5.3578 eV per atom
**Fermi-level density of states**: 0.64 states/eV per atom
**Calculated volume**: 15.16 A^3/atom

***

Entry 2:
Density functional theory data (PBE) for a geometry-optimized Fe2Ag structure.

Cell and atoms, written as POSCAR:
```
Fe2Ag
1.0
2.7855 0.0000 0.0000
-1.3928 2.4123 0.0000
0.0000 0.0000 6.3523
Fe Ag
2 1
Cartesian
0.0000 1.6082 2.2985 Fe
1.3928 0.8041 4.0538 Fe
0.0000 0.0000 0.0000 Ag
```

Properties
**Energy relative to the elements**: 344 meV/atom
**Magnetic moment**: 5.2 μB/f.u.
**Crystal system**: trigonal
**E**: -6.2483 eV per atom
**Fermi-level density of states**: 0.88 states/eV per atom
**Calculated volume**: 14.23 A^3/atom

***

Entry 3:
Density functional theory data (PBE) for a geometry-optimized FeAg structure.

Cell and atoms, written as POSCAR:
```
FeAg
1.0
2.7567 0.0000 0.0000
0.0000 4.3918 0.0000
0.0000 0.0000 5.0176
Fe Ag
2 2
Cartesian
0.6892 1.0980 0.3419 Fe
2.0676 3.2939 4.6757 Fe
0.6892 3.2939 2.0170 Ag
2.0676 1.0980 3.0006 Ag
```

Properties
**Energy relative to the elements**: 405 meV/atom
**Magnetic moment**: 2.8 μB/f.u.
**Crystal system**: orthorhombic
**E**: -5.2521 eV per atom
**Fermi-level density of states**: 0.80 states/eV per atom
**Calculated volume**: 15.19 A^3/atom

***

Entry 4:
Density functional theory data (PBE) for a geometry-optimized FeAg4 structure.

Cell and atoms, written as POSCAR:
```
FeAg4
1.0
-3.2267 3.2267 2.0241
3.2267 -3.2267 2.0241
3.2267 3.2267 -2.0241
Fe Ag
1 4
Cartesian
0.0000 0.0000 0.0000 Fe
3.8928 1.3169 0.0000 Ag
1.3169 2.5607 0.0000 Ag
1.9099 0.6660 2.0241 Ag
-0.6660 1.9099 2.0241 Ag
```

Properties
**Energy relative to the elements**: 269 meV/atom
**Magnetic moment**: 3.1 μB/f.u.
**Crystal system**: tetragonal
**Energy above the most stable polymorph in this dataset**: 0.0 meV/atom
**E**: -3.7048 eV per atom
**Fermi-level density of states**: 0.83 states/eV per atom
**Calculated volume**: 16.86 A^3/atom

***

Entry 5:
Density functional theory data (PBE) for a geometry-optimized Fe3Ag2 structure.

Cell and atoms, written as POSCAR:
```
Fe3Ag2
1.0
2.1220 1.2252 4.6599
-2.1220 1.2252 4.6599
0.0000 -2.4503 4.6599
Fe Ag
3 2
Cartesian
0.0000 0.0000 0.0000 Fe
0.0000 0.0000 5.4723 Fe
0.0000 0.0000 8.5074 Fe
0.0000 0.0000 2.8544 Ag
0.0000 0.0000 11.1253 Ag
```

Properties
**Energy relative to the elements**: 427 meV/atom
**Magnetic moment**: 8.2 μB/f.u.
**Crystal system**: trigonal
**E**: -5.7906 eV per atom
**Fermi-level density of states**: 0.85 states/eV per atom
**Calculated volume**: 14.54 A^3/atom

***

Entry 6:
Density functional theory data (PBE) for a geometry-optimized Fe5Ag3 structure.

Cell and atoms, written as POSCAR:
```
Fe5Ag3
1.0
7.7983 0.0000 0.0000
-3.8992 6.7535 0.0000
0.0000 0.0000 4.6128
Fe Ag
10 6
Cartesian
-0.7100 1.2297 1.1532 Fe
-3.1892 5.5238 3.4596 Fe
1.4199 0.0000 1.1532 Fe
0.7100 1.2297 3.4596 Fe
0.0000 4.5024 0.0000 Fe
0.0000 4.5024 2.3064 Fe
3.8992 2.2512 0.0000 Fe
3.8992 2.2512 2.3064 Fe
6.3784 0.0000 3.4596 Fe
3.1892 5.5238 1.1532 Fe
-1.5473 2.6800 3.4596 Ag
-2.3519 4.0736 1.1532 Ag
3.0946 0.0000 3.4596 Ag
1.5473 2.6800 1.1532 Ag
4.7037 0.0000 1.1532 Ag
2.3519 4.0736 3.4596 Ag
```

Properties
**Energy relative to the elements**: 534 meV/atom
**Magnetic moment**: 14.0 μB/f.u.
**Crystal system**: hexagonal
**Energy above the most stable polymorph in this dataset**: 193.4 meV/atom
**E**: -5.8248 eV per atom
**Fermi-level density of states**: 0.89 states/eV per atom
**Calculated volume**: 15.18 A^3/atom

***

Entry 7:
Density functional theory data (PBE) for a geometry-optimized FeAg3 structure.

Cell and atoms, written as POSCAR:
```
FeAg3
1.0
5.1608 0.0000 0.0000
0.0000 5.1608 0.0000
0.0000 0.0000 5.1608
Fe Ag
2 6
Cartesian
0.0000 0.0000 0.0000 Fe
2.5804 2.5804 2.5804 Fe
0.0000 1.2902 2.5804 Ag
0.0000 3.8706 2.5804 Ag
1.2902 2.5804 0.0000 Ag
2.5804 0.0000 1.2902 Ag
2.5804 0.0000 3.8706 Ag
3.8706 2.5804 0.0000 Ag
```

Properties
**Energy relative to the elements**: 447 meV/atom
**Magnetic moment**: 3.0 μB/f.u.
**Crystal system**: cubic
**E**: -3.8072 eV per atom
**Fermi-level density of states**: 1.16 states/eV per atom
**Calculated volume**: 17.18 A^3/atom

***

Entry 8:
Density functional theory data (PBE) for a geometry-optimized FeAg structure.

Cell and atoms, written as POSCAR:
```
FeAg
1.0
0.0000 2.8858 2.8858
2.8858 0.0000 2.8858
2.8858 2.8858 0.0000
Fe Ag
1 1
Cartesian
0.0000 0.0000 0.0000 Fe
4.3288 4.3288 4.3288 Ag
```

Properties
**Energy relative to the elements**: 1555 meV/atom
**Magnetic moment**: 3.2 μB/f.u.
**Crystal system**: cubic
**E**: -4.1024 eV per atom
**Fermi-level density of states**: 2.28 states/eV per atom
**Calculated volume**: 24.03 A^3/atom

***

Entry 9:
Density functional theory data (PBE) for a geometry-optimized Fe2Ag3 structure.

Cell and atoms, written as POSCAR:
```
Fe2Ag3
1.0
1.3904 0.8027 11.6846
-1.3904 0.8027 11.6846
0.0000 -1.6055 11.6846
Fe Ag
2 3
Cartesian
0.0000 0.0000 3.5477 Fe
0.0000 0.0000 31.5062 Fe
0.0000 0.0000 10.4219 Ag
0.0000 0.0000 17.5270 Ag
0.0000 0.0000 24.6320 Ag
```

Properties
**Energy relative to the elements**: 384 meV/atom
**Magnetic moment**: 5.4 μB/f.u.
**Crystal system**: trigonal
**E**: -4.7118 eV per atom
**Fermi-level density of states**: 1.06 states/eV per atom
**Calculated volume**: 15.65 A^3/atom

***

Entry 10:
Density functional theory data (PBE) for a geometry-optimized FeAg structure.

Cell and atoms, written as POSCAR:
```
FeAg
1.0
-1.9891 1.9891 3.7844
1.9891 -1.9891 3.7844
1.9891 1.9891 -3.7844
Fe Ag
2 2
Cartesian
1.9891 0.9946 0.9461 Fe
0.0000 0.9946 2.8383 Fe
1.9891 -0.9946 2.8383 Ag
0.0000 2.9837 0.9461 Ag
```

Properties
**Energy relative to the elements**: 441 meV/atom
**Magnetic moment**: 2.7 μB/f.u.
**Crystal system**: tetragonal
**E**: -5.2160 eV per atom
**Fermi-level density of states**: 1.59 states/eV per atom
**Calculated volume**: 14.97 A^3/atom

***

Entry 11:
Density functional theory data (PBE) for a geometry-optimized FeAg structure.

Cell and atoms, written as POSCAR:
```
FeAg
1.0
-4.9201 4.9201 1.4514
4.9201 -4.9201 1.4514
4.9201 4.9201 -1.4514
Fe Ag
4 4
Cartesian
1.8079 1.8079 0.0000 Fe
3.1122 -3.1122 1.4514 Fe
-3.1122 3.1122 1.4514 Fe
3.1122 3.1122 1.4514 Fe
4.9201 1.7696 0.0000 Ag
1.7696 4.9201 0.0000 Ag
3.1505 0.0000 1.4514 Ag
0.0000 3.1505 1.4514 Ag
```

Properties
**Energy relative to the elements**: 553 meV/atom
**Magnetic moment**: 2.9 μB/f.u.
**Crystal system**: tetragonal
**E**: -5.1042 eV per atom
**Fermi-level density of states**: 0.67 states/eV per atom
**Calculated volume**: 17.57 A^3/atom

***

Entry 12:
Density functional theory data (PBE) for a geometry-optimized FeAg structure.

Cell and atoms, written as POSCAR:
```
FeAg
1.0
1.4000 -7.8190 0.0000
1.4000 7.8190 0.0000
0.0000 0.0000 2.8455
Fe Ag
2 2
Cartesian
1.4000 4.6048 2.1341 Fe
1.4000 -4.6048 0.7114 Fe
1.4000 1.2434 2.1341 Ag
1.4000 -1.2434 0.7114 Ag
```

Properties
**Energy relative to the elements**: 311 meV/atom
**Magnetic moment**: 2.7 μB/f.u.
**Crystal system**: orthorhombic
**E**: -5.3462 eV per atom
**Fermi-level density of states**: 0.90 states/eV per atom
**Calculated volume**: 15.57 A^3/atom